# La2SiGe3 (PBE, optimized geometry)
# polymorph energy (0 for the lowest one)	2	meV/atom
# formation energy from raw total energies	-646	meV/atom
# M_tot	0.00	μB per cell
# raw total energy	-264.03	eV per cell
# calculated volume	1141	Å³ per cell
data_La2SiGe3
_cell_length_a 8.2649
_cell_length_b 8.5823
_cell_length_c 16.0845
_cell_angle_alpha 90.00
_cell_angle_beta 90.00
_cell_angle_gamma 90.00
_symmetry_space_group_name_H-M 'F m m m'
_symmetry_Int_Tables_number 69
_symmetry_space_group_name_Hall '-F 2 2'
loop_
_atom_site_label
_atom_site_type_symbol
_atom_site_fract_x
_atom_site_fract_y
_atom_site_fract_z
_atom_site_occupancy
La1 La 0.0000 0.2499 0.0000 1
La2 La 0.2500 0.2500 0.2500 1
Si1 Si 0.0000 0.0000 0.1682 1
Ge1 Ge 0.0000 0.0000 0.3250 1
Ge2 Ge 0.2460 0.0000 0.0835 1